# 1
Material: LaTcSe2
Method: DFT, PBE-GGA
State: optimized geometry

abc: 3.8280 4.0616 5.8180
angles: 90.00 96.08 90.00
Fractional coordinates of all 4 atoms:
La 0.0000 0.0000 0.0000
Tc 0.5000 0.0000 0.5000
Se 0.3593 0.5000 0.7260
Se 0.6407 0.5000 0.2740

- raw total energy (eV/atom) = -6.23
- crystal system = monoclinic
- V (Å³/f.u.) = 89.9

---

# 2
Material: TbSc3Ir2
Method: DFT, PBE-GGA
State: optimized geometry

abc: 4.3336 8.4338 6.9319
angles: 90.00 90.00 90.00
Fractional coordinates of all 12 atoms:
Tb 0.0000 0.0778 0.0000
Tb 0.0000 0.9222 0.5000
Sc 0.0000 0.3308 0.6289
Sc 0.0000 0.6692 0.1289
Sc 0.5000 0.1895 0.3430
Sc 0.5000 0.4171 0.9691
Sc 0.5000 0.5829 0.4691
Sc 0.5000 0.8105 0.8430
Ir 0.0000 0.3565 0.2346
Ir 0.0000 0.6435 0.7346
Ir 0.5000 0.1523 0.7295
Ir 0.5000 0.8477 0.2295

- energy relative to the elements (kJ/mol of atoms) = -74.8
- crystal system = orthorhombic
- V (Å³/f.u.) = 126.7